# CrPS2Cl | Alexandria | PBE | optimized geometry
data_CrPS2Cl
_symmetry_space_group_name_H-M 'P 1'
_symmetry_Int_Tables_number 1
_cell_length_a 4.342
_cell_length_b 4.342
_cell_length_c 4.784
_cell_angle_alpha 90.00
_cell_angle_beta 90.00
_cell_angle_gamma 90.00
loop_
_symmetry_equiv_pos_as_xyz
'x,y,z'
loop_
_atom_site_label
_atom_site_type_symbol
_atom_site_fract_x
_atom_site_fract_y
_atom_site_fract_z
Cr1 Cr 0.000 0.000 0.000
P1 P 0.000 0.000 0.500
S1 S 0.000 0.500 0.000
S2 S 0.500 0.000 0.000
Cl1 Cl 0.500 0.500 0.500
# Space-group type   P4/mmm
# Volume   90 Å³/f.u.
# Formation energy without anion corrections   1.240 eV per formula unit
# E above lowest polymorph   0 meV/atom